Entry from Alexandria: a crystal of YPtW2Cl relaxed with PBEsol (meta-GGA SCAN).

a = 4.805 Å, b = 4.805 Å, c = 4.971 Å
α = 90.00°, β = 90.00°, γ = 90.00°
Space group P4/mmm (No. 123)
One atom of each set of equivalent atoms:
1 Y 0.000 0.000 0.000 (multiplicity 1)
2 Pt 0.500 0.500 0.500 (multiplicity 1)
3 W 0.000 0.500 0.500 (multiplicity 2)
4 Cl 0.500 0.500 0.000 (multiplicity 1)

## Properties
- total DFT energy (no corrections) (eV/cell) = -238.479
- E_form (uncorrected) (eV/atom) = 1.38
- N(E_F) (states/eV/cell) = 7.1